# LiTc3 | the Alexandria database | PBE | optimized geometry
data_LiTc3
_chemical_formula_sum 'Li4 Tc12'
_symmetry_space_group_name_H-M 'F m -3 m'
_symmetry_Int_Tables_number 225
_symmetry_space_group_name_Hall '-F 4 2 3'
_cell_length_a 6.044
_cell_length_b 6.044
_cell_length_c 6.044
_cell_angle_alpha 90.00
_cell_angle_beta 90.00
_cell_angle_gamma 90.00
loop_
_atom_site_label
_atom_site_type_symbol
_atom_site_fract_x
_atom_site_fract_y
_atom_site_fract_z
_atom_site_occupancy
Li1 Li 0.000 0.000 0.000 1
Tc1 Tc 0.000 0.000 0.500 1
Tc2 Tc 0.250 0.250 0.250 1
# energy of formation from the pure elements: 0.22 eV/atom
# crystal system: cubic



# KAs | the Alexandria database | PBE | optimized geometry
data_KAs
_chemical_formula_sum 'K6 As6'
_symmetry_space_group_name_H-M 'C 1 m 1'
_symmetry_Int_Tables_number 8
_cell_length_a 18.724
_cell_length_b 3.687
_cell_length_c 6.382
_cell_angle_alpha 90.00
_cell_angle_beta 96.47
_cell_angle_gamma 90.00
loop_
_symmetry_equiv_pos_as_xyz
'x,y,z'
'x,-y,z'
'x+1/2,y+1/2,z'
'x+1/2,-y+1/2,z'
loop_
_atom_site_label
_atom_site_type_symbol
_atom_site_fract_x
_atom_site_fract_y
_atom_site_fract_z
_atom_site_occupancy
K1 K 0.000 0.000 0.000 1
K2 K 0.120 0.500 0.557 1
K3 K 0.330 0.000 0.423 1
As1 As 0.189 0.500 0.085 1
As2 As 0.244 0.000 0.909 1
As3 As 0.475 0.500 0.491 1
# energy of formation from the pure elements: -0.23 eV/atom
# crystal system: monoclinic



# DyAlZn3Au | the Alexandria database | PBE | optimized geometry
data_DyAlZn3Au
_chemical_formula_sum 'Dy4 Al4 Zn12 Au4'
_symmetry_space_group_name_H-M 'C m c m'
_symmetry_Int_Tables_number 63
_symmetry_space_group_name_Hall '-C 2c 2'
_cell_length_a 6.152
_cell_length_b 12.860
_cell_length_c 5.803
_cell_angle_alpha 90.00
_cell_angle_beta 90.00
_cell_angle_gamma 90.00
loop_
_atom_site_label
_atom_site_type_symbol
_atom_site_fract_x
_atom_site_fract_y
_atom_site_fract_z
_atom_site_occupancy
Dy1 Dy 0.000 0.200 0.250 1
Al1 Al 0.000 0.422 0.250 1
Zn1 Zn 0.000 0.371 0.750 1
Zn2 Zn 0.198 0.000 0.000 1
Au1 Au 0.000 0.164 0.750 1
# energy of formation from the pure elements: -0.18 eV/atom
# crystal system: orthorhombic



# La4Pm2Sb3H2 | the Alexandria database | PBE | optimized geometry
data_La4Pm2Sb3H2
_chemical_formula_sum 'La8 Pm4 Sb6 H4'
_symmetry_space_group_name_H-M 'I 4/m m m'
_symmetry_Int_Tables_number 139
_symmetry_space_group_name_Hall '-I 4 2'
_cell_length_a 4.813
_cell_length_b 4.813
_cell_length_c 26.065
_cell_angle_alpha 90.00
_cell_angle_beta 90.00
_cell_angle_gamma 90.00
loop_
_atom_site_label
_atom_site_type_symbol
_atom_site_fract_x
_atom_site_fract_y
_atom_site_fract_z
_atom_site_occupancy
La1 La 0.000 0.500 0.084 1
Pm1 Pm 0.000 0.000 0.201 1
Sb1 Sb 0.000 0.000 0.323 1
Sb2 Sb 0.000 0.000 0.500 1
H1 H 0.000 0.000 0.108 1
# crystal system: tetragonal
# E_tot: -56.83 eV per formula unit



# Ca2TlTcO6 | the Alexandria database | PBE | optimized geometry
data_Ca2TlTcO6
_chemical_formula_sum 'Ca2 Tl1 Tc1 O6'
_symmetry_space_group_name_H-M 'P 4 m m'
_symmetry_Int_Tables_number 99
_cell_length_a 5.630
_cell_length_b 5.630
_cell_length_c 5.164
_cell_angle_alpha 90.00
_cell_angle_beta 90.00
_cell_angle_gamma 90.00
loop_
_symmetry_equiv_pos_as_xyz
'x,y,z'
'-y,x,z'
'-x,-y,z'
'y,-x,z'
'-x,y,z'
'y,x,z'
'x,-y,z'
'-y,-x,z'
loop_
_atom_site_label
_atom_site_type_symbol
_atom_site_fract_x
_atom_site_fract_y
_atom_site_fract_z
_atom_site_occupancy
Ca1 Ca 0.000 0.500 0.000 1
Tl1 Tl 0.000 0.000 0.568 1
Tc1 Tc 0.500 0.500 0.635 1
O1 O 0.000 0.000 0.149 1
O2 O 0.276 0.276 0.767 1
O3 O 0.500 0.500 0.292 1
# crystal system: tetragonal
# formation energy from raw total energies: -17.83 eV/f.u.



# Y2InB | the Alexandria database | PBE | optimized geometry
data_Y2InB
_chemical_formula_sum 'Y8 In4 B4'
_symmetry_space_group_name_H-M 'F m -3 m'
_symmetry_Int_Tables_number 225
_symmetry_space_group_name_Hall '-F 4 2 3'
_cell_length_a 7.085
_cell_length_b 7.085
_cell_length_c 7.085
_cell_angle_alpha 90.00
_cell_angle_beta 90.00
_cell_angle_gamma 90.00
loop_
_atom_site_label
_atom_site_type_symbol
_atom_site_fract_x
_atom_site_fract_y
_atom_site_fract_z
_atom_site_occupancy
Y1 Y 0.250 0.250 0.250 1
In1 In 0.000 0.000 0.000 1
B1 B 0.000 0.000 0.500 1
# energy of formation from the pure elements: 0.15 eV/atom
# crystal system: cubic



# PaH3Pd | the Alexandria database | PBE | optimized geometry
data_PaH3Pd
_chemical_formula_sum 'Pa4 H12 Pd4'
_symmetry_space_group_name_H-M 'C 1 2/m 1'
_symmetry_Int_Tables_number 12
_cell_length_a 16.898
_cell_length_b 3.597
_cell_length_c 3.613
_cell_angle_alpha 90.00
_cell_angle_beta 95.44
_cell_angle_gamma 90.00
loop_
_symmetry_equiv_pos_as_xyz
'x,y,z'
'-x,-y,-z'
'-x,y,-z'
'x,-y,z'
'x+1/2,y+1/2,z'
'-x+1/2,-y+1/2,-z'
'-x+1/2,y+1/2,-z'
'x+1/2,-y+1/2,z'
loop_
_atom_site_label
_atom_site_type_symbol
_atom_site_fract_x
_atom_site_fract_y
_atom_site_fract_z
_atom_site_occupancy
Pa1 Pa 0.072 0.000 0.396 1
H1 H 0.027 0.500 0.761 1
H2 H 0.172 0.500 0.466 1
H3 H 0.183 0.000 0.969 1
Pd1 Pd 0.180 0.500 0.971 1
# crystal system: monoclinic
# E_tot: -25.21 eV per formula unit



# LaErO3 | the Alexandria database | PBE | optimized geometry
data_LaErO3
_chemical_formula_sum 'La4 Er4 O12'
_symmetry_space_group_name_H-M 'C m m m'
_symmetry_Int_Tables_number 65
_symmetry_space_group_name_Hall '-C 2 2'
_cell_length_a 5.966
_cell_length_b 12.846
_cell_length_c 4.139
_cell_angle_alpha 90.00
_cell_angle_beta 90.00
_cell_angle_gamma 90.00
loop_
_atom_site_label
_atom_site_type_symbol
_atom_site_fract_x
_atom_site_fract_y
_atom_site_fract_z
_atom_site_occupancy
La1 La 0.000 0.159 0.000 1
Er1 Er 0.000 0.380 0.500 1
O1 O 0.000 0.333 0.000 1
O2 O 0.235 0.000 0.500 1
O3 O 0.250 0.250 0.500 1
# crystal system: orthorhombic
# formation energy from raw total energies: -15.87 eV/f.u.



Number 1: density of states at the Fermi level 14.45 states/eV per cell. Number 2: density of states at the Fermi level 10.65 states/eV per cell. Number 3: density of states at the Fermi level 5.98 states/eV per cell. Number 4: density of states at the Fermi level 16.90 states/eV per cell. Number 5: density of states at the Fermi level 1.59 states/eV per cell. Number 6: density of states at the Fermi level 7.08 states/eV per cell. Number 7: density of states at the Fermi level 11.62 states/eV per cell. Number 8: density of states at the Fermi level 0.00 states/eV per cell.